# 1
Here is an optimized crystal structure of CoHRuRh2 from Alexandria via LeMat-Bulk. Energies are from PBE.

* D(E_F): 5.67 states/eV/f.u.
* space-group type: P4/mmm
* E_tot: -6.756 eV/atom
* spin magnetization: 2.93 μB per cell

```
5
Lattice="3.833 0.000 0.000 0.000 3.833 0.000 0.000 0.000 3.823" Properties=species:S:1:pos:R:3 pbc="T T T"
Co 0.000 0.000 0.000
H 0.000 0.000 1.912
Ru 1.917 1.917 0.000
Rh 0.000 1.917 1.912
Rh 1.917 0.000 1.912
```

=====

# 2
Here is an optimized crystal structure of CeNd2Hg5 from Alexandria via LeMat-Bulk. Energies are from PBE.

* D(E_F): 11.64 states/eV/f.u.
* formation energy from the elements: -0.395 eV/atom
* space-group type: I4/mmm
* E_tot: -2.517 eV/atom
* spin magnetization: 0.94 μB per cell

```
8
Lattice="-2.664 2.664 7.560 2.664 -2.664 7.560 2.664 2.664 -7.560" Properties=species:S:1:pos:R:3 pbc="T T T"
Ce 0.000 0.000 0.000
Nd 0.000 0.000 4.071
Nd 0.000 0.000 11.050
Hg 2.664 0.000 1.837
Hg 2.664 0.000 5.724
Hg 0.000 0.000 7.560
Hg 0.000 2.664 1.837
Hg 0.000 2.664 5.724
```

=====

Which formula does entry 1 have? CoHRuRh2

=====

Number 1 is which compound? CoHRuRh2